Crystalline VH2F at its relaxed geometry. Source: Alexandria, functional GGA+U.

Unit cell a=4.9489 b=4.9489 c=4.9489 alpha=90.00 beta=90.00 gamma=90.00
With the nearest neighbours (Å) after each atom.
Space group Fm-3m (No. 225)
Inequivalent atoms, fractional coordinates:
V1 0.0000 0.0000 0.0000  8 H 2.14
H1 0.2500 0.2500 0.2500  4 F 2.14, 4 V 2.14
F1 0.0000 0.0000 0.5000  8 H 2.14

Computed properties:
- Magnetization: 0.500 μB/atom
- N(E_F): 0.96 states/eV per cell
- Excess energy over the best structure of this formula in the dataset: 283.1 meV/atom